No. 1
The following is a GGA-PBE calculation of an optimized crystal structure of Ce3ThMn, from Alexandria.

calculated formation energy: 5.01 kcal/mol of atoms
D(E_F): 15.3 states/eV/cell
magnetic moment: 0.03 μB per cell
theoretical density: 8.66 g cm⁻³
electronic total energy: -33.30 eV/f.u.

Geometry as CIF:
```
data_Ce3ThMn
_space_group_name_H-M_alt 'P m -3 m'
_space_group_IT_number 221
_space_group_name_Hall '-P 4 2 3'
_cell_length_a 5.1374
_cell_length_b 5.1374
_cell_length_c 5.1374
_cell_angle_alpha 90.00
_cell_angle_beta 90.00
_cell_angle_gamma 90.00
loop_
_atom_site_label
_atom_site_type_symbol
_atom_site_fract_x
_atom_site_fract_y
_atom_site_fract_z
Ce1 Ce 0.0000 0.0000 0.5000
Th1 Th 0.5000 0.5000 0.5000
Mn1 Mn 0.0000 0.0000 0.0000
```

***

No. 2
The following is a GGA-PBE calculation of an optimized crystal structure of CaHfTi2B, from Alexandria.

calculated formation energy: 40.94 kcal/mol of atoms
D(E_F): 4.4 states/eV/cell
magnetic moment: 0.54 μB per cell
theoretical density: 5.82 g cm⁻³
electronic total energy: -25.55 eV/f.u.

Geometry as CIF:
```
data_CaHfTi2B
_space_group_name_H-M_alt 'P 4/m m m'
_space_group_IT_number 123
_space_group_name_Hall '-P 4 2'
_cell_length_a 4.4454
_cell_length_b 4.4454
_cell_length_c 4.6920
_cell_angle_alpha 90.00
_cell_angle_beta 90.00
_cell_angle_gamma 90.00
loop_
_atom_site_label
_atom_site_type_symbol
_atom_site_fract_x
_atom_site_fract_y
_atom_site_fract_z
Ca1 Ca 0.0000 0.0000 0.0000
Hf1 Hf 0.5000 0.5000 0.5000
Ti1 Ti 0.0000 0.5000 0.0000
B1 B 0.0000 0.0000 0.5000
```

***

No. 3
The following is a GGA-PBE calculation of an optimized crystal structure of TbNd4Y2Mg, from Alexandria.

calculated formation energy: 0.15 kcal/mol of atoms
D(E_F): 10.5 states/eV/cell
magnetic moment: 0.00 μB per cell
theoretical density: 5.98 g cm⁻³
electronic total energy: -38.17 eV/f.u.

Geometry as CIF:
```
data_TbNd4Y2Mg
_space_group_name_H-M_alt 'P 4/m m m'
_space_group_IT_number 123
_space_group_name_Hall '-P 4 2'
_cell_length_a 5.0794
_cell_length_b 5.0794
_cell_length_c 10.1016
_cell_angle_alpha 90.00
_cell_angle_beta 90.00
_cell_angle_gamma 90.00
loop_
_atom_site_label
_atom_site_type_symbol
_atom_site_fract_x
_atom_site_fract_y
_atom_site_fract_z
Tb1 Tb 0.0000 0.0000 0.0000
Nd1 Nd 0.0000 0.5000 0.2542
Y1 Y 0.0000 0.0000 0.5000
Y2 Y 0.5000 0.5000 0.0000
Mg1 Mg 0.5000 0.5000 0.5000
```

***

No. 4
The following is a GGA-PBE calculation of an optimized crystal structure of TbAlCu, from Alexandria.

calculated formation energy: -8.69 kcal/mol of atoms
D(E_F): 3.9 states/eV/cell
magnetic moment: 0.00 μB per cell
theoretical density: 6.83 g cm⁻³
electronic total energy: -13.60 eV/f.u.

Geometry as CIF:
```
data_TbAlCu
_space_group_name_H-M_alt 'P -6 m 2'
_space_group_IT_number 187
_space_group_name_Hall 'P -6 2'
_cell_length_a 4.4031
_cell_length_b 4.4031
_cell_length_c 3.6113
_cell_angle_alpha 90.00
_cell_angle_beta 90.00
_cell_angle_gamma 120.00
loop_
_atom_site_label
_atom_site_type_symbol
_atom_site_fract_x
_atom_site_fract_y
_atom_site_fract_z
Tb1 Tb 0.0000 0.0000 0.0000
Al1 Al 0.3333 0.6667 0.5000
Cu1 Cu 0.6667 0.3333 0.5000
```

***

D(E_F) of number 3 (TbNd4Y2Mg)? 10.5 states/eV/cell

***

What is the formula in the second record? CaHfTi2B